Material: CuGe3
Method: DFT, PBE
State: optimized geometry

Unit cell a=3.0960 b=4.0858 c=6.2458 alpha=109.09 beta=104.35 gamma=90.00
Fractional coordinates of all 4 atoms:
Ge1 0.6957 0.0415 0.3913
Ge2 0.3043 0.6502 0.6087
Ge3 0.5000 0.4796 0.0000
Cu1 0.0000 0.9953 0.0000

Properties
energy above the lowest structure with this stoichiometry: 0.0 meV/atom
energy relative to the elements: 95.3 kJ/mol of formula units
total energy: -4.240 eV per atom
SG: No. 44